Version P
VASP calculation (PBE-GGA) on a geometry-optimized GdTaNO structure.

a b c (Å): 4.0249 4.0249 8.0729
angles (deg): 90.00 90.00 90.00
Closest atoms and distances in Å follow each position.
Element x y z (fractional)
Gd (0.2500, 0.2500, 0.1309)  4 O 2.27
Gd (0.7500, 0.7500, 0.8691)  4 O 2.27
Ta (0.2500, 0.7500, 0.5000)  4 N 2.10
Ta (0.7500, 0.2500, 0.5000)  4 N 2.10
N (0.2500, 0.2500, 0.5763)  4 Ta 2.10
N (0.7500, 0.7500, 0.4237)  4 Ta 2.10
O (0.2500, 0.7500, 0.0000)  4 Gd 2.27
O (0.7500, 0.2500, 0.0000)  4 Gd 2.27

Calculated values
Its density is 9.350 Mg/m³. Its space group is P4/nmm, No. 129.

***

Version Q
VASP calculation (PBE-GGA) on a geometry-optimized GdTaNO structure.

a b c (Å): 4.4224 4.4224 5.8335
angles (deg): 90.00 90.00 90.00
Closest atoms and distances in Å follow each position.
Element x y z (fractional)
Gd (0.2500, 0.7500, 0.0000)  4 N 2.36
Gd (0.7500, 0.2500, 0.0000)  4 N 2.36
Ta (0.2500, 0.2500, 0.4739)  1 N 1.93
Ta (0.7500, 0.7500, 0.5261)  1 N 1.93
N (0.2500, 0.2500, 0.1426)  1 Ta 1.93
N (0.7500, 0.7500, 0.8574)  1 Ta 1.93
O (0.2500, 0.7500, 0.5000)  4 Ta 2.22
O (0.7500, 0.2500, 0.5000)  4 Ta 2.22

Calculated values
Its density is 10.718 Mg/m³. Its space group is P4/nmm, No. 129.

***

It comes down to version P, which is 0.508 eV/atom more stable than the next structure.

***

Version P
VASP calculation (PBE-GGA) on a geometry-optimized GdYNO structure.

a b c (Å): 4.2994 4.2994 7.8782
angles (deg): 90.00 90.00 90.00
Closest atoms and distances in Å follow each position.
Element x y z (fractional)
Gd (0.2500, 0.7500, 0.0000)  4 N 2.36
Gd (0.7500, 0.2500, 0.0000)  4 N 2.36
Y (0.2500, 0.2500, 0.3998)  4 O 2.29
Y (0.7500, 0.7500, 0.6002)  4 O 2.29
N (0.2500, 0.2500, 0.8756)  4 Gd 2.36
N (0.7500, 0.7500, 0.1244)  4 Gd 2.36
O (0.2500, 0.7500, 0.5000)  4 Y 2.29
O (0.7500, 0.2500, 0.5000)  4 Y 2.29

Calculated values
Its density is 6.298 Mg/m³. Its space group is P4/nmm, No. 129.

***

Version Q
VASP calculation (PBE-GGA) on a geometry-optimized GdYNO structure.

a b c (Å): 6.6442 8.1140 4.9810
angles (deg): 90.00 90.00 90.00
Closest atoms and distances in Å follow each position.
Element x y z (fractional)
Gd (0.0820, 0.1279, 0.0000)  1 O 2.30, 4 N 2.30-2.49
Gd (0.4180, 0.1279, 0.5000)  1 O 2.30, 4 N 2.30-2.49
Gd (0.5820, 0.8721, 0.0000)  1 O 2.30, 4 N 2.30-2.49
Gd (0.9180, 0.8721, 0.5000)  1 O 2.30, 4 N 2.30-2.49
Y (0.0701, 0.6219, 0.0013)  3 O 2.23-2.49, 1 N 2.24
Y (0.4299, 0.6219, 0.5013)  3 O 2.23-2.49, 1 N 2.24
Y (0.5701, 0.3781, 0.0013)  3 O 2.23-2.49, 1 N 2.24
Y (0.9299, 0.3781, 0.5013)  3 O 2.23-2.49, 1 N 2.24
N (0.0684, 0.1270, 0.5005)  1 Y 2.24, 4 Gd 2.30-2.49
N (0.4316, 0.1270, 0.0005)  1 Y 2.24, 4 Gd 2.30-2.49
N (0.5684, 0.8730, 0.5005)  1 Y 2.24, 4 Gd 2.30-2.49
N (0.9316, 0.8730, 0.0005)  1 Y 2.24, 4 Gd 2.30-2.49
O (0.0948, 0.6289, 0.5018)  3 Y 2.23-2.49, 1 Gd 2.30
O (0.4052, 0.6289, 0.0018)  3 Y 2.23-2.49, 1 Gd 2.30
O (0.5948, 0.3711, 0.5018)  3 Y 2.23-2.49, 1 Gd 2.30
O (0.9052, 0.3711, 0.0018)  3 Y 2.23-2.49, 1 Gd 2.30

Calculated values
Its density is 6.831 Mg/m³. Its space group is Pca2_1, No. 29.

***

It comes down to version Q, which is 0.467 eV/atom more stable than the next structure.

***

Version P
VASP calculation (PBE-GGA) on a geometry-optimized GdYNO structure.

a b c (Å): 8.0989 6.6771 4.9527
angles (deg): 90.00 90.00 90.00
Closest atoms and distances in Å follow each position.
Element x y z (fractional)
Gd (0.1228, 0.0704, 0.2500)  4 O 2.25-2.48, 1 N 2.26
Gd (0.1228, 0.4296, 0.7500)  4 O 2.25-2.48, 1 N 2.26
Gd (0.8772, 0.5704, 0.2500)  4 O 2.25-2.48, 1 N 2.26
Gd (0.8772, 0.9296, 0.7500)  4 O 2.25-2.48, 1 N 2.26
Y (0.3743, 0.5839, 0.2500)  4 N 2.27-2.48, 1 O 2.27
Y (0.3743, 0.9161, 0.7500)  4 N 2.27-2.48, 1 O 2.27
Y (0.6257, 0.0839, 0.2500)  4 N 2.27-2.48, 1 O 2.27
Y (0.6257, 0.4161, 0.7500)  4 N 2.27-2.48, 1 O 2.27
N (0.3762, 0.5718, 0.7500)  1 Gd 2.26, 4 Y 2.27-2.48
N (0.3762, 0.9282, 0.2500)  1 Gd 2.26, 4 Y 2.27-2.48
N (0.6238, 0.0718, 0.7500)  1 Gd 2.26, 4 Y 2.27-2.48
N (0.6238, 0.4282, 0.2500)  1 Gd 2.26, 4 Y 2.27-2.48
O (0.1343, 0.0922, 0.7500)  4 Gd 2.25-2.48, 1 Y 2.27
O (0.1343, 0.4078, 0.2500)  4 Gd 2.25-2.48, 1 Y 2.27
O (0.8657, 0.5922, 0.7500)  4 Gd 2.25-2.48, 1 Y 2.27
O (0.8657, 0.9078, 0.2500)  4 Gd 2.25-2.48, 1 Y 2.27

Calculated values
Its density is 6.849 Mg/m³. Its space group is Pbcm, No. 57.

***

Version Q
VASP calculation (PBE-GGA) on a geometry-optimized GdYNO structure.

a b c (Å): 4.8935 3.9908 6.9347
angles (deg): 90.00 90.00 90.00
Closest atoms and distances in Å follow each position.
Element x y z (fractional)
Gd (0.2500, 0.0000, 0.1649)  2 N 2.33, 3 O 2.37-2.45
Gd (0.7500, 0.0000, 0.8351)  2 N 2.33, 3 O 2.37-2.45
Y (0.2500, 0.5000, 0.6665)  2 O 2.27, 3 N 2.28-2.45
Y (0.7500, 0.5000, 0.3335)  2 O 2.27, 3 N 2.28-2.45
N (0.2500, 0.5000, 0.3378)  3 Y 2.28-2.45, 2 Gd 2.33
N (0.7500, 0.5000, 0.6622)  3 Y 2.28-2.45, 2 Gd 2.33
O (0.2500, 0.0000, 0.8230)  2 Y 2.27, 3 Gd 2.37-2.45
O (0.7500, 0.0000, 0.1770)  2 Y 2.27, 3 Gd 2.37-2.45

Calculated values
Its density is 6.772 Mg/m³. Its space group is Pmma, No. 51.

***

It comes down to version Q, which is 0.018 eV/atom more stable than the next structure.

***

Version P
VASP calculation (PBE-GGA) on a geometry-optimized NaGdPO structure.

a b c (Å): 3.6346 7.9720 5.9069
angles (deg): 90.00 90.00 90.00
Closest atoms and distances in Å follow each position.
Element x y z (fractional)
Na (0.0000, 0.0822, 0.0000)  2 O 2.20-2.28
Na (0.0000, 0.9178, 0.5000)  2 O 2.20-2.28
Gd (0.5000, 0.3159, 0.3982)  2 O 2.14
Gd (0.5000, 0.6841, 0.8982)  2 O 2.14
P (0.5000, 0.3360, 0.8854)  3 Gd 2.78-3.03, 2 Na 2.80
P (0.5000, 0.6640, 0.3854)  3 Gd 2.78-3.03, 2 Na 2.80
O (0.0000, 0.1750, 0.3659)  2 Gd 2.14, 2 Na 2.20-2.28
O (0.0000, 0.8250, 0.8659)  2 Gd 2.14, 2 Na 2.20-2.28

Calculated values
Its density is 4.409 Mg/m³. Its space group is Pmc2_1, No. 26.

***

Version Q
VASP calculation (PBE-GGA) on a geometry-optimized NaGdPO structure.

a b c (Å): 4.0741 6.4682 5.6071
angles (deg): 90.00 90.00 90.00
Closest atoms and distances in Å follow each position.
Element x y z (fractional)
Na (0.0000, 0.1254, 0.0000)  4 O 2.60, 2 P 2.79-2.81
Na (0.0000, 0.8746, 0.5000)  4 O 2.60, 2 P 2.79-2.81
Gd (0.5000, 0.2613, 0.5006)  2 O 2.20
Gd (0.5000, 0.7387, 0.0006)  2 O 2.20
P (0.0000, 0.4996, 0.2476)  2 Na 2.79-2.81, 2 P 2.80, 4 Gd 2.91-2.92
P (0.0000, 0.5004, 0.7476)  2 Na 2.79-2.81, 2 P 2.80, 4 Gd 2.91-2.92
O (0.5000, 0.0000, 0.2508)  2 Gd 2.20
O (0.5000, 0.0000, 0.7508)  2 Gd 2.20

Calculated values
Its density is 5.107 Mg/m³. Its space group is Pmc2_1, No. 26.

***

Version R
VASP calculation (PBE-GGA) on a geometry-optimized NaGdPO structure.

a b c (Å): 3.9810 3.9810 4.9150
angles (deg): 90.00 90.00 90.00
Closest atoms and distances in Å follow each position.
Element x y z (fractional)
Na (0.0000, 0.0000, 0.0000)  2 P 2.46
Gd (0.5000, 0.5000, 0.5000)  2 O 2.46
P (0.0000, 0.0000, 0.5000)  2 Na 2.46
O (0.5000, 0.5000, 0.0000)  2 Gd 2.46

Calculated values
Its density is 4.844 Mg/m³. Its space group is P4/mmm, No. 123.

***

Version S
VASP calculation (PBE-GGA) on a geometry-optimized NaGdPO structure.

a b c (Å): 3.8892 3.8892 10.1088
angles (deg): 90.00 90.00 90.00
Closest atoms and distances in Å follow each position.
Element x y z (fractional)
Na (0.2500, 0.7500, 0.0000)  4 Na 2.75, 4 P 2.85
Na (0.7500, 0.2500, 0.0000)  4 Na 2.75, 4 P 2.85
Gd (0.2500, 0.2500, 0.3865)  4 O 2.26
Gd (0.7500, 0.7500, 0.6135)  4 O 2.26
P (0.2500, 0.2500, 0.7938)  4 Na 2.85
P (0.7500, 0.7500, 0.2062)  4 Na 2.85
O (0.2500, 0.7500, 0.5000)  4 Gd 2.26
O (0.7500, 0.2500, 0.5000)  4 Gd 2.26

Calculated values
Its density is 4.935 Mg/m³. Its space group is P4/nmm, No. 129.

***

It comes down to version Q, which is 0.017 eV/atom more stable than the next structure.